Entry 1:
A geometry-optimized Tm2In2S structure, computed with GGA-PBE.

Cell: 3.656 3.656 11.208 Å, 80.63 80.61 60.00°
Fractional coordinates of all 5 atoms:
Tm 0.716 0.216 0.352
Tm 0.284 0.784 0.648
In 0.457 0.957 0.130
In 0.543 0.043 0.870
S 0.000 0.500 0.500

The energy relative to the elements, uncorrected is -0.880 eV/atom.

Entry 2:
A geometry-optimized Tm4InS2 structure, computed with GGA-PBE.

Cell: 3.879 6.770 13.291 Å, 90.00 90.00 106.65°
Fractional coordinates of all 14 atoms:
Tm 0.765 0.530 0.117
Tm 0.765 0.530 0.383
Tm 0.235 0.470 0.883
Tm 0.235 0.470 0.617
Tm 0.923 0.847 0.750
Tm 0.077 0.153 0.250
Tm 0.500 0.000 0.000
Tm 0.500 0.000 0.500
In 0.606 0.211 0.750
In 0.394 0.789 0.250
S 0.134 0.268 0.443
S 0.866 0.732 0.943
S 0.134 0.268 0.057
S 0.866 0.732 0.557

The energy relative to the elements, uncorrected is -1.269 eV/atom.

Entry 3:
A geometry-optimized Tm8InS4 structure, computed with GGA-PBE.

Cell: 3.783 9.294 9.302 Å, 87.59 78.26 78.25°
Fractional coordinates of all 13 atoms:
Tm 0.173 0.300 0.354
Tm 0.560 0.616 0.264
Tm 0.471 0.388 0.670
Tm 0.858 0.704 0.580
Tm 0.888 0.966 0.258
Tm 0.179 0.711 0.930
Tm 0.144 0.037 0.676
Tm 0.852 0.293 0.003
In 0.516 0.002 0.967
S 0.357 0.851 0.435
S 0.825 0.534 0.816
S 0.206 0.470 0.117
S 0.674 0.152 0.499

The energy relative to the elements, uncorrected is -1.215 eV/atom.